Record 1
Computed, not measured: a relaxed Li2Mg5Cu2 crystal at the PBE-GGA level of DFT.

Lattice parameters (Å, degrees): 9.090 9.090 6.508 90.00 90.00 42.37
Atoms (fractional coordinates):
Li (0.234, 0.234, 0.000)
Li (0.266, 0.266, 0.500)
Li (0.734, 0.734, 0.500)
Li (0.766, 0.766, 0.000)
Mg (0.000, 0.000, 0.000)
Mg (0.060, 0.704, 0.678)
Mg (0.204, 0.560, 0.178)
Mg (0.296, 0.940, 0.678)
Mg (0.440, 0.796, 0.178)
Mg (0.500, 0.500, 0.500)
Mg (0.560, 0.204, 0.822)
Mg (0.704, 0.060, 0.322)
Mg (0.796, 0.440, 0.822)
Mg (0.940, 0.296, 0.322)
Cu (0.129, 0.871, 0.374)
Cu (0.371, 0.629, 0.874)
Cu (0.629, 0.371, 0.126)
Cu (0.871, 0.129, 0.626)

Output
The value obtained for the total magnetic moment is 0.00 μB/cell. The calculation puts the total energy at -2.22 eV/atom. Its space-group type is Cmce.

Record 2
Computed, not measured: a relaxed Li9Mg2Cu crystal at the PBE-GGA level of DFT.

Lattice parameters (Å, degrees): 5.146 5.552 7.844 89.57 89.70 84.39
Atoms (fractional coordinates):
Li (0.000, 0.000, 0.000)
Li (0.060, 0.932, 0.347)
Li (0.082, 0.453, 0.163)
Li (0.263, 0.438, 0.515)
Li (0.409, 0.759, 0.773)
Li (0.591, 0.241, 0.227)
Li (0.737, 0.562, 0.485)
Li (0.918, 0.547, 0.837)
Li (0.940, 0.068, 0.653)
Mg (0.464, 0.241, 0.855)
Mg (0.536, 0.759, 0.145)
Cu (0.500, 0.000, 0.500)

Output
The value obtained for the total magnetic moment is 0.00 μB/cell. The calculation puts the total energy at -2.02 eV/atom. Its space-group type is P-1.